Entry 1:
DFT (PBE) results for a relaxed BeRe2Au crystal.

Lattice parameters (Å, degrees): 4.8609 4.8609 2.7666 90.00 90.00 116.60
Fractional coordinates of all 4 atoms:
Be: 0.0000 0.0000 0.0000
Re: 0.0000 0.5000 0.5000
Re: 0.5000 0.0000 0.5000
Au: 0.5000 0.5000 0.0000

The value obtained for the density is 16.4 g cm⁻³. As for the symmetry: Cmmm (65). As for the total energy: -29.79 eV per cell. For the volume, the calculation gives 58.5 Å³ per cell.

***

Entry 2:
DFT (PBE) results for a relaxed TePb2Cl8 crystal.

Lattice parameters (Å, degrees): 8.6128 8.6128 5.9709 90.00 90.00 120.00
Fractional coordinates of all 11 atoms:
Te: 0.0000 0.0000 0.0000
Pb: 0.3333 0.6667 0.2157
Pb: 0.6667 0.3333 0.7843
Cl: 0.1405 0.2810 0.2481
Cl: 0.1405 0.8595 0.2481
Cl: 0.2810 0.1405 0.7519
Cl: 0.3333 0.6667 0.6508
Cl: 0.6667 0.3333 0.3492
Cl: 0.7190 0.8595 0.2481
Cl: 0.8595 0.1405 0.7519
Cl: 0.8595 0.7190 0.7519

The value obtained for the density is 3.6 g cm⁻³. As for the symmetry: P-3m1 (164). The calculation puts the energy relative to the elements, uncorrected at -792 meV/atom. As for the total energy: -34.05 eV per cell. For the volume, the calculation gives 383.6 Å³ per cell.

***

Entry 3:
DFT (PBE) results for a relaxed Ni9Ge2Pt crystal.

Lattice parameters (Å, degrees): 3.6134 3.6134 10.7417 90.00 90.00 90.00
Fractional coordinates of all 12 atoms:
Ni: 0.0000 0.0000 0.0000
Ni: 0.0000 0.0000 0.3362
Ni: 0.0000 0.0000 0.6638
Ni: 0.0000 0.5000 0.1731
Ni: 0.0000 0.5000 0.5000
Ni: 0.0000 0.5000 0.8269
Ni: 0.5000 0.0000 0.1731
Ni: 0.5000 0.0000 0.5000
Ni: 0.5000 0.0000 0.8269
Ge: 0.5000 0.5000 0.3349
Ge: 0.5000 0.5000 0.6651
Pt: 0.5000 0.5000 0.0000

The value obtained for the density is 10.3 g cm⁻³. As for the symmetry: P4/mmm (123). As for the total energy: -69.52 eV per cell. For the volume, the calculation gives 140.3 Å³ per cell.

***

Entry 4:
DFT (PBE) results for a relaxed Tb6Y5Tm crystal.

Lattice parameters (Å, degrees): 6.1634 6.1634 11.7822 94.98 94.98 119.95
Fractional coordinates of all 12 atoms:
Tb: 0.0831 0.4154 0.7492
Tb: 0.2491 0.2491 0.2507
Tb: 0.4154 0.0831 0.7492
Tb: 0.5846 0.9169 0.2508
Tb: 0.7509 0.7509 0.7493
Tb: 0.9169 0.5846 0.2508
Y: 0.1666 0.8334 0.0000
Y: 0.3333 0.6667 0.5000
Y: 0.5000 0.5000 0.0000
Y: 0.6667 0.3333 0.5000
Y: 0.8334 0.1666 0.0000
Tm: 0.0000 0.0000 0.5000

The value obtained for the density is 6.8 g cm⁻³. As for the symmetry: C2/m (12). As for the total energy: -64.34 eV per cell. For the volume, the calculation gives 381.9 Å³ per cell.